Entry 1:
The following is a DFT calculation (GGA-PBEsol) of a geometry-optimized MgCd2Ag structure.

Unit cell a=4.7543 b=4.7543 c=4.7543 alpha=60.00 beta=60.00 gamma=60.00
Positions (direct):
Mg 0.5000 0.5000 0.5000
Ag 0.0000 0.0000 0.0000
Cd 0.2500 0.2500 0.2500
Cd 0.7500 0.7500 0.7500

Properties
crystal system = cubic
energy above the lowest structure with this stoichiometry = 0.026 eV per atom
formation energy = -0.092 eV/atom



Entry 2:
The following is a DFT calculation (GGA-PBEsol) of a geometry-optimized Al3CoSe structure.

Unit cell a=4.8048 b=4.8048 c=4.8048 alpha=90.00 beta=90.00 gamma=90.00
Positions (direct):
Co 0.5000 0.5000 0.5000
Al 0.0000 0.5000 0.0000
Al 0.0000 0.0000 0.5000
Al 0.5000 0.0000 0.0000
Se 0.0000 0.0000 0.0000

Properties
E_form (uncorrected) = 1.1354 eV/atom
crystal system = cubic



Entry 3:
The following is a DFT calculation (GGA-PBEsol) of a geometry-optimized Cu3Pt structure.

Unit cell a=2.8160 b=4.1989 c=4.8729 alpha=115.52 beta=106.79 gamma=90.00
Positions (direct):
Cu 0.7603 0.7603 0.5206
Cu 0.2397 0.2397 0.4794
Cu 0.5000 0.0000 0.0000
Pt 0.0000 0.5000 0.0000

Properties
crystal system = orthorhombic
formation energy = -0.076 eV/atom



Entry 4:
The following is a DFT calculation (GGA-PBEsol) of a geometry-optimized MnAgW2 structure.

Unit cell a=2.7367 b=2.7367 c=9.2070 alpha=81.45 beta=81.45 gamma=60.00
Positions (direct):
Ag 0.5000 0.5000 0.5000
Mn 0.0000 0.0000 0.0000
W 0.2577 0.2577 0.2268
W 0.7423 0.7423 0.7732

Properties
crystal system = trigonal
formation energy = 0.477 eV/atom



Entry 5:
The following is a DFT calculation (GGA-PBEsol) of a geometry-optimized CaMgSi2O6 structure.

Unit cell a=5.3611 b=8.2361 c=9.7531 alpha=90.00 beta=90.81 gamma=90.00
Positions (direct):
Ca 0.4032 0.4466 0.7286
Ca 0.0968 0.9466 0.2714
Ca 0.5968 0.5534 0.2714
Ca 0.9032 0.0534 0.7286
Mg 0.1182 0.3336 0.2339
Mg 0.3818 0.8336 0.7661
Mg 0.8818 0.6664 0.7661
Mg 0.6182 0.1664 0.2339
Si 0.9658 0.3303 0.5002
Si 0.5342 0.8303 0.4998
Si 0.0342 0.6697 0.4998
Si 0.4658 0.1697 0.5002
Si 0.2347 0.6519 0.0352
Si 0.2653 0.1519 0.9648
Si 0.7653 0.3481 0.9648
Si 0.7347 0.8481 0.0352
O 0.2844 0.4879 0.1179
O 0.2156 0.9879 0.8821
O 0.7156 0.5121 0.8821
O 0.7844 0.0121 0.1179
O 0.2047 0.2270 0.5874
O 0.2953 0.7270 0.4126
O 0.7953 0.7730 0.4126
O 0.7047 0.2730 0.5874
O 0.4702 0.0085 0.3859
O 0.0298 0.5085 0.6141
O 0.5298 0.9915 0.6141
O 0.9702 0.4915 0.3859
O 0.4381 0.3105 0.3708
O 0.0619 0.8105 0.6292
O 0.5619 0.6895 0.6292
O 0.9381 0.1895 0.3708
O 0.2796 0.1450 0.1301
O 0.2204 0.6450 0.8699
O 0.7204 0.8550 0.8699
O 0.7796 0.3550 0.1301
O 0.4721 0.7667 0.0959
O 0.0279 0.2667 0.9041
O 0.5279 0.2333 0.9041
O 0.9721 0.7333 0.0959

Properties
E_form (uncorrected) = -2.9011 eV/atom
crystal system = monoclinic



Entry 6:
The following is a DFT calculation (GGA-PBEsol) of a geometry-optimized RbNbGe3 structure.

Unit cell a=5.0525 b=5.0525 c=5.0525 alpha=90.00 beta=90.00 gamma=90.00
Positions (direct):
Nb 0.0000 0.0000 0.0000
Ge 0.0000 0.5000 0.0000
Ge 0.0000 0.0000 0.5000
Ge 0.5000 0.0000 0.0000
Rb 0.5000 0.5000 0.5000

Properties
crystal system = cubic
energy above the lowest structure with this stoichiometry = 0.000 eV per atom
formation energy = 0.050 eV/atom



Entry 7:
The following is a DFT calculation (GGA-PBEsol) of a geometry-optimized Zr4OsBr structure.

Unit cell a=5.5334 b=5.5334 c=5.5334 alpha=60.00 beta=60.00 gamma=60.00
Positions (direct):
Br 0.7500 0.7500 0.7500
Os 0.0000 0.0000 0.0000
Zr 0.3733 0.3733 0.3733
Zr 0.3733 0.3733 0.8802
Zr 0.8802 0.3733 0.3733
Zr 0.3733 0.8802 0.3733

Properties
E_form (uncorrected) = 0.6834 eV/atom
crystal system = cubic



Entry 8:
The following is a DFT calculation (GGA-PBEsol) of a geometry-optimized Mn2FeRh structure.

Unit cell a=2.8288 b=4.0852 c=4.7927 alpha=115.23 beta=107.16 gamma=90.00
Positions (direct):
Fe 0.7439 0.2439 0.4878
Mn 0.9992 0.9992 0.9984
Mn 0.2558 0.7558 0.5116
Rh 0.5011 0.5011 0.0022

Properties
crystal system = orthorhombic
energy above the lowest structure with this stoichiometry = 0.142 eV per atom
formation energy = 0.173 eV/atom



Entry 9:
The following is a DFT calculation (GGA-PBEsol) of a geometry-optimized SrLaTlCuO5 structure.

Unit cell a=3.7500 b=3.7500 c=8.7718 alpha=90.00 beta=90.00 gamma=90.00
Positions (direct):
Sr 0.5000 0.5000 0.7848
La 0.5000 0.5000 0.1969
Tl 0.0000 0.0000 0.4977
Cu 0.0000 0.0000 0.9898
O 0.0000 0.0000 0.7343
O 0.0000 0.0000 0.2593
O 0.0000 0.5000 0.0081
O 0.5000 0.0000 0.0081
O 0.5000 0.5000 0.4809

Properties
E_form (uncorrected) = -1.9467 eV/atom
crystal system = tetragonal



Entry 10:
The following is a DFT calculation (GGA-PBEsol) of a geometry-optimized AlSi2Os structure.

Unit cell a=2.9532 b=4.3529 c=4.4827 alpha=95.62 beta=109.23 gamma=90.00
Positions (direct):
Si 0.0123 0.0133 0.0245
Si 0.2516 0.7566 0.5033
Os 0.7450 0.2299 0.4900
Al 0.4911 0.5002 0.9822

Properties
E_form (uncorrected) = -0.1518 eV/atom
crystal system = monoclinic



Entry 11:
The following is a DFT calculation (GGA-PBEsol) of a geometry-optimized Be2AlAg structure.

Unit cell a=2.7431 b=4.0468 c=4.4113 alpha=90.00 beta=90.01 gamma=90.00
Positions (direct):
Be 0.8748 0.0000 0.9641
Be 0.8750 0.5000 0.2773
Al 0.3749 0.5000 0.8166
Ag 0.3753 0.0000 0.4420

Properties
crystal system = orthorhombic
formation energy = 0.136 eV/atom



Entry 12:
The following is a DFT calculation (GGA-PBEsol) of a geometry-optimized CaIn2Pd structure.

Unit cell a=4.4176 b=5.6038 c=7.7364 alpha=90.00 beta=90.00 gamma=113.21
Positions (direct):
Ca 0.5665 0.1330 0.7500
Ca 0.4335 0.8670 0.2500
Pd 0.7169 0.4338 0.2500
Pd 0.2831 0.5662 0.7500
In 0.1439 0.2878 0.4470
In 0.8561 0.7122 0.5530
In 0.1439 0.2878 0.0530
In 0.8561 0.7122 0.9470

Properties
crystal system = orthorhombic
formation energy = -0.654 eV/atom



Entry 13:
The following is a DFT calculation (GGA-PBEsol) of a geometry-optimized ErZnPd2 structure.

Unit cell a=4.5630 b=4.5630 c=4.5630 alpha=60.00 beta=60.00 gamma=60.00
Positions (direct):
Zn 0.5000 0.5000 0.5000
Pd 0.7500 0.7500 0.7500
Pd 0.2500 0.2500 0.2500
Er 0.0000 0.0000 0.0000

Properties
crystal system = cubic
formation energy = -0.748 eV/atom



Entry 14:
The following is a DFT calculation (GGA-PBEsol) of a geometry-optimized LiCaBi2Cl structure.

Unit cell a=5.0904 b=6.0290 c=6.0290 alpha=90.00 beta=90.00 gamma=90.00
Positions (direct):
Ca 0.0000 0.0000 0.0000
Li 0.5000 0.5000 0.5000
Bi 0.0000 0.0000 0.5000
Bi 0.0000 0.5000 0.0000
Cl 0.5000 0.0000 0.0000

Properties
E_form (uncorrected) = -0.1706 eV/atom
crystal system = tetragonal



Entry 15:
The following is a DFT calculation (GGA-PBEsol) of a geometry-optimized KBa2Re structure.

Unit cell a=3.5234 b=5.2661 c=9.6497 alpha=105.83 beta=100.52 gamma=90.00
Positions (direct):
Ba 0.0976 0.0976 0.1952
Ba 0.2555 0.7555 0.5109
K 0.4103 0.4103 0.8207
Re 0.7366 0.2366 0.4732

Properties
crystal system = orthorhombic
energy above the lowest structure with this stoichiometry = 0.000 eV per atom
formation energy = 1.041 eV/atom



Entry 16:
The following is a DFT calculation (GGA-PBEsol) of a geometry-optimized SrGeB2Cl structure.

Unit cell a=4.0632 b=4.0632 c=6.3059 alpha=90.00 beta=90.00 gamma=90.00
Positions (direct):
Sr 0.0000 0.0000 0.5000
Ge 0.0000 0.0000 0.0000
B 0.0000 0.5000 0.0000
B 0.5000 0.0000 0.0000
Cl 0.5000 0.5000 0.5000

Properties
E_form (uncorrected) = 0.4066 eV/atom
crystal system = tetragonal



Entry 17:
The following is a DFT calculation (GGA-PBEsol) of a geometry-optimized Sc2GaP structure.

Unit cell a=4.6320 b=4.6320 c=4.6320 alpha=60.00 beta=60.00 gamma=60.00
Positions (direct):
Sc 0.2500 0.2500 0.2500
Sc 0.7500 0.7500 0.7500
P 0.0000 0.0000 0.0000
Ga 0.5000 0.5000 0.5000

Properties
crystal system = cubic
formation energy = -0.663 eV/atom



Entry 18:
The following is a DFT calculation (GGA-PBEsol) of a geometry-optimized Os2AuCl structure.

Unit cell a=2.7041 b=4.6993 c=4.8836 alpha=90.00 beta=90.00 gamma=90.00
Positions (direct):
Os 0.0000 0.0000 0.0000
Os 0.5000 0.0000 0.5000
Au 0.5000 0.5000 0.0000
Cl 0.0000 0.5000 0.5000

Properties
E_form (uncorrected) = 1.1686 eV/atom
crystal system = orthorhombic
energy above the lowest structure with this stoichiometry = 0.000 eV per atom



Entry 19:
The following is a DFT calculation (GGA-PBEsol) of a geometry-optimized CaAcZn2 structure.

Unit cell a=5.2889 b=5.2889 c=5.2889 alpha=60.00 beta=60.00 gamma=60.00
Positions (direct):
Zn 0.7500 0.7500 0.7500
Zn 0.2500 0.2500 0.2500
Ac 0.0000 0.0000 0.0000
Ca 0.5000 0.5000 0.5000

Properties
crystal system = cubic
formation energy = -0.241 eV/atom



Entry 20:
The following is a DFT calculation (GGA-PBEsol) of a geometry-optimized LiSe2Cl structure.

Unit cell a=2.8923 b=2.8923 c=11.5415 alpha=82.80 beta=82.80 gamma=60.00
Positions (direct):
Cl 0.5000 0.5000 0.5000
Se 0.9305 0.9305 0.2085
Se 0.0695 0.0695 0.7915
Li 0.0000 0.0000 0.0000

Properties
E_form (uncorrected) = 0.0553 eV/atom
crystal system = trigonal
energy above the lowest structure with this stoichiometry = 0.810 eV per atom



In eV/atom, the DFT total energy values for the records above are, in order, -1.95, -3.64, -5.07, -9.69, -7.59, -5.28, -7.72, -8.98, -6.44, -7.10, -3.72, -4.17, -5.36, -3.11, -3.65, -4.16, -6.25, -6.42, -2.69, -2.86.